(1)
## CsK2NaGe (GGA-PBE)

Data for an optimized crystal structure of CsK2NaGe.

The structure in CIF format:
```
data_CsK2NaGe
_chemical_formula_sum 'Cs1 K2 Na1 Ge1'
_space_group_name_H-M_alt 'P 4/m m m'
_space_group_IT_number 123
_space_group_name_Hall '-P 4 2'
_cell_length_a 6.7018
_cell_length_b 6.7018
_cell_length_c 6.0112
_cell_angle_alpha 90.00
_cell_angle_beta 90.00
_cell_angle_gamma 90.00
loop_
_atom_site_label
_atom_site_fract_x
_atom_site_fract_y
_atom_site_fract_z
Cs1 0.0000 0.0000 0.0000
K1 0.0000 0.5000 0.5000
Na1 0.5000 0.5000 0.0000
Ge1 0.5000 0.5000 0.5000
```

Values from the calculation:
The final energy comes out at -1.7328 eV/atom. The crystal system is tetragonal. The size of the total moment comes out at 0.00 μB per formula unit. Its density of states at the Fermi level is 3.4 states/eV/f.u. The energy of formation comes out at 64 meV/atom.

=====

(2)
## CsKGeO3 (GGA-PBE)

Data for an optimized crystal structure of CsKGeO3.

The structure in CIF format:
```
data_CsKGeO3
_chemical_formula_sum 'Cs4 K4 Ge4 O12'
_space_group_name_H-M_alt 'C 1 2/c 1'
_space_group_IT_number 15
_cell_length_a 6.4192
_cell_length_b 12.3897
_cell_length_c 5.6143
_cell_angle_alpha 90.00
_cell_angle_beta 99.68
_cell_angle_gamma 90.00
loop_
_space_group_symop_operation_xyz
'x,y,z'
'-x,-y,-z'
'-x,y,-z+1/2'
'x,-y,z+1/2'
'x+1/2,y+1/2,z'
'-x+1/2,-y+1/2,-z'
'-x+1/2,y+1/2,-z+1/2'
'x+1/2,-y+1/2,z+1/2'
loop_
_atom_site_label
_atom_site_fract_x
_atom_site_fract_y
_atom_site_fract_z
Cs1 0.0000 0.2474 0.2500
K1 0.0000 0.0884 0.7500
Ge1 0.0000 0.4549 0.7500
O1 0.0000 0.3129 0.7500
O2 0.1876 0.4742 0.4798
```

Values from the calculation:
The final energy comes out at -5.2483 eV/atom. Its uncorrected formation energy is -1.674 eV/atom. The crystal system is monoclinic. The size of the total moment comes out at 0.00 μB per formula unit. Its density of states at the Fermi level is 0.0 states/eV/f.u.

=====

(3)
## Cs2K4GeP2 (GGA-PBE)

Data for an optimized crystal structure of Cs2K4GeP2.

The structure in CIF format:
```
data_Cs2K4GeP2
_chemical_formula_sum 'Cs4 K8 Ge2 P4'
_space_group_name_H-M_alt 'C 1 2/m 1'
_space_group_IT_number 12
_cell_length_a 15.3669
_cell_length_b 8.3063
_cell_length_c 7.7700
_cell_angle_alpha 90.00
_cell_angle_beta 107.54
_cell_angle_gamma 90.00
loop_
_space_group_symop_operation_xyz
'x,y,z'
'-x,-y,-z'
'-x,y,-z'
'x,-y,z'
'x+1/2,y+1/2,z'
'-x+1/2,-y+1/2,-z'
'-x+1/2,y+1/2,-z'
'x+1/2,-y+1/2,z'
loop_
_atom_site_label
_atom_site_fract_x
_atom_site_fract_y
_atom_site_fract_z
Cs1 0.1759 0.0000 0.4556
K1 0.1064 0.2726 0.9224
Ge1 0.0000 0.5000 0.5000
P1 0.0779 0.5000 0.3075
```

Values from the calculation:
The final energy comes out at -2.4401 eV/atom. The crystal system is monoclinic. The size of the total moment comes out at 0.00 μB per formula unit. Its density of states at the Fermi level is 5.6 states/eV/f.u. The energy of formation comes out at -47 meV/atom.

=====

(4)
## Cs2KGePd (GGA-PBE)

Data for an optimized crystal structure of Cs2KGePd.

The structure in CIF format:
```
data_Cs2KGePd
_chemical_formula_sum 'Cs2 K1 Ge1 Pd1'
_space_group_name_H-M_alt 'P 4/m m m'
_space_group_IT_number 123
_space_group_name_Hall '-P 4 2'
_cell_length_a 6.6348
_cell_length_b 6.6348
_cell_length_c 6.5142
_cell_angle_alpha 90.00
_cell_angle_beta 90.00
_cell_angle_gamma 90.00
loop_
_atom_site_label
_atom_site_fract_x
_atom_site_fract_y
_atom_site_fract_z
Cs1 0.0000 0.5000 0.0000
K1 0.0000 0.0000 0.5000
Ge1 0.0000 0.0000 0.0000
Pd1 0.5000 0.5000 0.5000
```

Values from the calculation:
The final energy comes out at -1.9593 eV/atom. The crystal system is tetragonal. The size of the total moment comes out at 1.02 μB per formula unit. Its density of states at the Fermi level is 4.4 states/eV/f.u. The energy of formation comes out at 564 meV/atom.

=====

(5)
## CsK2GePt (GGA-PBE)

Data for an optimized crystal structure of CsK2GePt.

The structure in CIF format:
```
data_CsK2GePt
_chemical_formula_sum 'Cs1 K2 Ge1 Pt1'
_space_group_name_H-M_alt 'P 4/m m m'
_space_group_IT_number 123
_space_group_name_Hall '-P 4 2'
_cell_length_a 6.4732
_cell_length_b 6.4732
_cell_length_c 4.7499
_cell_angle_alpha 90.00
_cell_angle_beta 90.00
_cell_angle_gamma 90.00
loop_
_atom_site_label
_atom_site_fract_x
_atom_site_fract_y
_atom_site_fract_z
Cs1 0.0000 0.0000 0.0000
K1 0.0000 0.5000 0.5000
Ge1 0.5000 0.5000 0.5000
Pt1 0.5000 0.5000 0.0000
```

Values from the calculation:
The final energy comes out at -2.8003 eV/atom. The crystal system is tetragonal. The size of the total moment comes out at 0.31 μB per formula unit. Its density of states at the Fermi level is 2.4 states/eV/f.u. The polymorph energy (0 for the lowest one) comes out at 0.070 eV/atom. The energy of formation comes out at -59 meV/atom.

=====

(6)
## CsK2GePt (GGA-PBE)

Data for an optimized crystal structure of CsK2GePt.

The structure in CIF format:
```
data_CsK2GePt
_chemical_formula_sum 'Cs1 K2 Ge1 Pt1'
_space_group_name_H-M_alt 'P 4/m m m'
_space_group_IT_number 123
_space_group_name_Hall '-P 4 2'
_cell_length_a 6.3816
_cell_length_b 6.3816
_cell_length_c 4.8006
_cell_angle_alpha 90.00
_cell_angle_beta 90.00
_cell_angle_gamma 90.00
loop_
_atom_site_label
_atom_site_fract_x
_atom_site_fract_y
_atom_site_fract_z
Cs1 0.0000 0.0000 0.0000
K1 0.0000 0.5000 0.5000
Ge1 0.5000 0.5000 0.0000
Pt1 0.5000 0.5000 0.5000
```

Values from the calculation:
The final energy comes out at -2.8707 eV/atom. The crystal system is tetragonal. The size of the total moment comes out at 0.30 μB per formula unit. Its density of states at the Fermi level is 2.7 states/eV/f.u. The polymorph energy (0 for the lowest one) comes out at 0.000 eV/atom. The energy of formation comes out at -129 meV/atom.